Entry 1:
A geometry-optimized Tb4PmDy5 structure. Source: Alexandria, functional PBE.

Structure (POSCAR):
```
Tb4PmDy5
1.0
6.1606 0.0000 0.0000
2.0506 5.8125 0.0000
3.0725 0.0145 8.8974
Tb Pm Dy
4 1 5
Cartesian
0.0000 0.0000 0.0000
4.0976 2.9207 7.1226
6.1525 0.0128 7.1214
7.1790 2.9175 5.3467
4.1017 2.9134 3.5580
3.0730 0.0111 5.3448
5.1298 5.8149 1.7724
4.1056 2.9052 0.0010
6.1565 0.0070 3.5566
7.1846 2.9086 1.7698
```

Distance to the lowest polymorph of the same formula, meV per atom: 3.6
E_tot, eV/cell: -46.1
SG: No. 1
DOS at the Fermi energy, states/eV/cell: 13.7
Formation enthalpy at 0 K, eV/atom: 0.02

Entry 2:
A geometry-optimized Tb7Pm4Dy structure. Source: Alexandria, functional PBE.

Structure (POSCAR):
```
Tb7Pm4Dy
1.0
6.0502 -2.9742 0.0000
6.0502 2.9742 0.0000
-6.0208 0.0000 11.2965
Tb Pm Dy
7 4 1
Cartesian
0.0000 0.0000 0.0000
-2.9981 0.0000 10.4301
-1.0731 0.0000 7.7405
1.4290 0.0000 5.6101
4.6506 0.0000 5.6865
7.1527 0.0000 3.5561
9.0778 0.0000 0.8665
-1.2830 0.0000 3.7197
3.0484 0.0000 2.5152
3.0312 0.0000 8.7814
7.3627 0.0000 7.5769
6.0502 0.0000 0.0000
```

Distance to the lowest polymorph of the same formula, meV per atom: 180.2
E_tot, eV/cell: -52.8
SG: No. 12
DOS at the Fermi energy, states/eV/cell: 19.7
Formation enthalpy at 0 K, eV/atom: 0.27

Entry 3:
A geometry-optimized Tb2PmDy5 structure. Source: Alexandria, functional PBE.

Structure (POSCAR):
```
Tb2PmDy5
1.0
6.6029 0.0000 0.0000
3.2973 8.1611 0.0000
0.9331 -0.0193 9.5582
Tb Pm Dy
4 2 10
Cartesian
1.1306 1.0296 0.7127
4.8917 7.1128 5.4894
5.9416 1.0290 4.0688
9.7027 7.1122 8.8455
4.0032 0.6499 7.1705
6.8301 7.4919 2.3877
2.7318 3.9426 8.0523
3.5288 6.3835 2.3809
2.5924 2.4124 4.2867
5.2807 3.9355 6.2809
6.3551 5.7199 9.0546
4.4782 2.4219 0.5036
5.5526 4.2063 3.2772
8.2409 5.7294 5.2715
7.3045 1.7583 7.1773
8.1015 4.1992 1.5059
```

Distance to the lowest polymorph of the same formula, meV per atom: 127.1
E_tot, eV/cell: -71.8
SG: No. 2
DOS at the Fermi energy, states/eV/cell: 23.3
Formation enthalpy at 0 K, eV/atom: 0.14